1.
## TcMo3 (SCAN)

Data for TcMo3 at its PBEsol-relaxed geometry.

a = 4.396 Å, b = 4.396 Å, c = 3.101 Å
α = 90.00°, β = 90.00°, γ = 90.00°
Space group P4/mmm (No. 123)
Symmetry-distinct sites (fractional):
Tc  0.000  0.000  0.000 [1 per cell]
Mo  0.000  0.500  0.500 [2 per cell]
Mo  0.500  0.500  0.000 [1 per cell]

Computed properties:
Crystal system: tetragonal
Formation energy from the elements, eV per formula unit: 0.10
ΔE to the lowest computed polymorph, eV/f.u.: 0.023

=====

2.
## InPt2Au (SCAN)

Data for InPt2Au at its PBEsol-relaxed geometry.

a = 2.9416 Å, b = 2.9416 Å, c = 26.8176 Å
α = 90.00°, β = 90.00°, γ = 120.00°
Space group R3m (No. 160, hexagonal axes)
Symmetry-distinct sites (fractional):
In  0.0000  0.0000  0.0000 [3 per cell]
Pt  0.0000  0.0000  0.4962 [3 per cell]
Pt  0.0000  0.0000  0.7478 [3 per cell]
Au  0.0000  0.0000  0.2466 [3 per cell]

Computed properties:
Crystal system: trigonal
Formation energy from the elements, eV per formula unit: 0.11

=====

3.
## In2PdI (SCAN)

Data for In2PdI at its PBEsol-relaxed geometry.

a = 7.355 Å, b = 7.355 Å, c = 7.355 Å
α = 90.00°, β = 90.00°, γ = 90.00°
Space group Fm-3m (No. 225)
Symmetry-distinct sites (fractional):
In  0.250  0.250  0.250 [8 per cell]
Pd  0.000  0.000  0.000 [4 per cell]
I  0.000  0.000  0.500 [4 per cell]

Computed properties:
E_form (uncorrected), meV/atom: 339.7
Crystal system: cubic

=====

M_tot
In order: 0.0, 0.0, 0.0
Unit: μB/cell